(1)
Crystalline PaTc3P3 at its relaxed geometry, computed with GGA-PBE.

Values from the calculation:
polymorph energy (0 for the lowest one) = 0.025 eV/atom
space group = R-3, No. 148
energy of formation from the pure elements = -0.568 eV/atom

Lattice parameters (Å, degrees): 6.7169 6.7169 7.4719 63.29 63.29 60.00
Positions (direct):
P (0.6280, 0.8972, 0.2606)
P (0.7858, 0.3720, 0.7394)
Tc (0.0971, 0.4971, 0.6402)
P (0.1028, 0.7858, 0.7394)
Tc (0.9029, 0.5029, 0.3598)
Tc (0.4971, 0.7655, 0.6402)
Tc (0.7655, 0.0971, 0.6402)
P (0.2142, 0.6280, 0.2606)
Pa (0.3330, 0.3330, 0.0009)
P (0.3720, 0.1028, 0.7394)
P (0.8972, 0.2142, 0.2606)
Tc (0.2345, 0.9029, 0.3598)
Pa (0.6670, 0.6670, 0.9991)
Tc (0.5029, 0.2345, 0.3598)

***

(2)
Crystalline BaCu2Pd at its relaxed geometry, computed with GGA-PBE.

Values from the calculation:
polymorph energy (0 for the lowest one) = 0.087 eV/atom
space group = I4_1/amd, No. 141
energy of formation from the pure elements = -0.142 eV/atom

Lattice parameters (Å, degrees): 4.7401 4.7401 9.5285 75.60 75.60 90.00
Positions (direct):
Ba (0.0000, 0.0000, 0.0000)
Cu (0.3750, 0.1250, 0.2500)
Ba (0.7500, 0.2500, 0.5000)
Pd (0.2500, 0.7500, 0.5000)
Pd (0.5000, 0.5000, 0.0000)
Cu (0.3750, 0.6250, 0.7500)
Cu (0.3750, 0.6250, 0.2500)
Cu (0.8750, 0.6250, 0.7500)

***

(3)
Crystalline Sm3AlZn3 at its relaxed geometry, computed with GGA-PBE.

Values from the calculation:
space group = C2/m, No. 12
energy of formation from the pure elements = -0.327 eV/atom

Lattice parameters (Å, degrees): 4.5199 5.7495 14.0741 85.10 80.76 66.85
Positions (direct):
Sm (0.3957, 0.2867, 0.9219)
Zn (0.8940, 0.1361, 0.0759)
Al (0.7489, 0.1067, 0.3956)
Sm (0.2393, 0.2933, 0.2281)
Zn (0.1060, 0.8639, 0.9241)
Sm (0.6043, 0.7133, 0.0781)
Zn (0.0527, 0.1285, 0.7660)
Zn (0.9473, 0.8715, 0.2340)
Al (0.2511, 0.8933, 0.6044)
Sm (0.4570, 0.7006, 0.3854)
Zn (0.1303, 0.2791, 0.4603)
Sm (0.7607, 0.7067, 0.7719)
Sm (0.5430, 0.2994, 0.6146)
Zn (0.8697, 0.7209, 0.5397)

***

(4)
Crystalline EuDyZnCo at its relaxed geometry, computed with GGA-PBE.

Values from the calculation:
space group = F-43m, No. 216
energy of formation from the pure elements = -0.050 eV/atom

Lattice parameters (Å, degrees): 4.9698 4.9698 4.9698 60.00 60.00 60.00
Each line ends with the local moment (μB).
Positions (direct):
Eu (0.7500, 0.7500, 0.7500)  6.79
Co (0.5000, 0.5000, 0.5000)  -1.02
Zn (0.0000, 0.0000, 0.0000)  0.01
Dy (0.2500, 0.2500, 0.2500)  0.17

***

(5)
Crystalline CsTmTe2Au at its relaxed geometry, computed with GGA-PBE.

Values from the calculation:
space group = P2/c, No. 13
E_form (uncorrected) = -0.8571 eV/atom

Lattice parameters (Å, degrees): 4.7604 9.0723 8.5476 92.88 90.00 90.00
Positions (direct):
Au (0.0000, 0.0000, 0.5000)
Cs (0.9418, 0.5000, 0.2500)
Tm (0.4985, 0.0000, 0.2500)
Te (0.3950, 0.7706, 0.4882)
Te (0.3950, 0.2294, 0.0118)
Te (0.6050, 0.2294, 0.5118)
Au (0.0000, 0.0000, 0.0000)
Te (0.6050, 0.7706, 0.9882)
Tm (0.5015, 0.0000, 0.7500)
Cs (0.0582, 0.5000, 0.7500)

***

(6)
Crystalline Hf2MoI at its relaxed geometry, computed with GGA-PBE.

Values from the calculation:
polymorph energy (0 for the lowest one) = 0.000 eV/atom
space group = Fm-3m, No. 225
E_form (uncorrected) = 0.5013 eV/atom

Lattice parameters (Å, degrees): 4.9015 4.9015 4.9015 60.00 60.00 60.00
Positions (direct):
Hf (0.7500, 0.7500, 0.7500)
Hf (0.2500, 0.2500, 0.2500)
Mo (0.0000, 0.0000, 0.0000)
I (0.5000, 0.5000, 0.5000)

***

(7)
Crystalline Zr2PbSe at its relaxed geometry, computed with GGA-PBE.

Values from the calculation:
polymorph energy (0 for the lowest one) = 0.238 eV/atom
space group = Fm-3m, No. 225
E_form (uncorrected) = -0.3861 eV/atom

Lattice parameters (Å, degrees): 4.9844 4.9844 4.9844 60.00 60.00 60.00
Positions (direct):
Pb (0.5000, 0.5000, 0.5000)
Se (0.0000, 0.0000, 0.0000)
Zr (0.7500, 0.7500, 0.7500)
Zr (0.2500, 0.2500, 0.2500)

***

(8)
Crystalline Dy3Y12Tl at its relaxed geometry, computed with GGA-PBE.

Values from the calculation:
space group = P4/mmm, No. 123
energy of formation from the pure elements = -0.025 eV/atom

Lattice parameters (Å, degrees): 4.9769 4.9769 20.2705 90.00 90.00 90.00
Positions (direct):
Dy (0.0000, 0.0000, 0.5000)
Y (0.5000, 0.5000, 0.0000)
Y (0.0000, 0.5000, 0.1215)
Y (0.5000, 0.0000, 0.1215)
Y (0.0000, 0.5000, 0.8785)
Y (0.5000, 0.5000, 0.5000)
Y (0.0000, 0.5000, 0.3737)
Tl (0.0000, 0.0000, 0.0000)
Y (0.0000, 0.5000, 0.6263)
Dy (0.0000, 0.0000, 0.7512)
Y (0.5000, 0.0000, 0.6263)
Y (0.5000, 0.0000, 0.8785)
Y (0.5000, 0.5000, 0.7554)
Y (0.5000, 0.5000, 0.2446)
Y (0.5000, 0.0000, 0.3737)
Dy (0.0000, 0.0000, 0.2488)